# 1
Computed, not measured: a relaxed structure of LiDy3Ho3S8 at the PBE level of DFT.

For the total energy, the calculation gives -6.16 eV/atom. The density of states at the Fermi level comes out at 4.4 states/eV/f.u. As for the uncorrected formation energy: -193.0 kJ/mol of atoms. As for the size of the total moment: 0.000 μB per atom.

Lattice parameters (Å, degrees): 7.7446 7.7446 7.7446 59.97 59.97 59.97
Positions (direct):
Li 0.0000 0.0000 0.0000
Dy 0.0000 0.0000 0.5000
Dy 0.0000 0.5000 0.0000
Dy 0.5000 0.0000 0.0000
Ho 0.0000 0.5000 0.5000
Ho 0.5000 0.0000 0.5000
Ho 0.5000 0.5000 0.0000
S 0.2455 0.2455 0.7534
S 0.2455 0.7534 0.2455
S 0.2466 0.7545 0.7545
S 0.2505 0.2505 0.2505
S 0.7495 0.7495 0.7495
S 0.7534 0.2455 0.2455
S 0.7545 0.2466 0.7545
S 0.7545 0.7545 0.2466


# 2
Computed, not measured: a relaxed structure of LiDyHo2S5 at the PBE level of DFT.

For the total energy, the calculation gives -5.90 eV/atom. As for the uncorrected formation energy: -179.7 kJ/mol of atoms. As for the size of the total moment: 0.000 μB per atom.

Lattice parameters (Å, degrees): 8.2976 8.2976 11.7763 90.00 90.00 152.96
Positions (direct):
Li 0.0127 0.9873 0.5000
Li 0.9873 0.0127 0.0000
Dy 0.3034 0.6966 0.0184
Dy 0.6966 0.3034 0.5184
Ho 0.3767 0.6233 0.3097
Ho 0.3922 0.6078 0.7016
Ho 0.6078 0.3922 0.2016
Ho 0.6233 0.3767 0.8097
S 0.9999 0.0001 0.3029
S 0.0001 0.9999 0.8029
S 0.1364 0.8636 0.0207
S 0.1922 0.8078 0.3571
S 0.2129 0.7871 0.6817
S 0.4548 0.5452 0.0936
S 0.5452 0.4548 0.5936
S 0.7871 0.2129 0.1817
S 0.8078 0.1922 0.8571
S 0.8636 0.1364 0.5207


# 3
Computed, not measured: a relaxed structure of LiDy2HoS5 at the PBE level of DFT.

For the total energy, the calculation gives -5.92 eV/atom. As for the uncorrected formation energy: -181.2 kJ/mol of atoms. As for the size of the total moment: 0.000 μB per atom.

Lattice parameters (Å, degrees): 8.3080 8.3080 11.7613 90.00 90.00 152.96
Positions (direct):
Li 0.0133 0.9867 0.5000
Li 0.9867 0.0133 0.0000
Dy 0.3761 0.6239 0.3117
Dy 0.3926 0.6074 0.7026
Dy 0.6074 0.3926 0.2026
Dy 0.6239 0.3761 0.8117
Ho 0.3031 0.6969 0.0196
Ho 0.6969 0.3031 0.5196
S 0.0000 0.0000 0.3028
S 0.0000 0.0000 0.8028
S 0.1366 0.8634 0.0196
S 0.1922 0.8078 0.3592
S 0.2135 0.7865 0.6816
S 0.4541 0.5459 0.0932
S 0.5459 0.4541 0.5932
S 0.7865 0.2135 0.1816
S 0.8078 0.1922 0.8592
S 0.8634 0.1366 0.5196


# 4
Computed, not measured: a relaxed structure of LiDyHo4S8 at the PBE level of DFT.

For the total energy, the calculation gives -6.11 eV/atom. The density of states at the Fermi level comes out at 0.0 states/eV/f.u. As for the uncorrected formation energy: -190.4 kJ/mol of atoms. As for the size of the total moment: 0.000 μB per atom.

Lattice parameters (Å, degrees): 7.9857 7.9857 7.9857 59.91 59.91 59.91
Positions (direct):
Li 0.0000 0.0000 0.0000
Dy 0.3704 0.3704 0.3704
Ho 0.3703 0.3703 0.8888
Ho 0.3703 0.8888 0.3703
Ho 0.7498 0.7498 0.7498
Ho 0.8888 0.3703 0.3703
S 0.1309 0.1309 0.6054
S 0.1309 0.6054 0.1309
S 0.1317 0.1317 0.1317
S 0.1499 0.6172 0.6172
S 0.6054 0.1309 0.1309
S 0.6164 0.6164 0.6164
S 0.6172 0.1499 0.6172
S 0.6172 0.6172 0.1499


# 5
Computed, not measured: a relaxed structure of LiDy4HoS8 at the PBE level of DFT.

For the total energy, the calculation gives -6.11 eV/atom. The density of states at the Fermi level comes out at 0.0 states/eV/f.u. As for the uncorrected formation energy: -190.3 kJ/mol of atoms. As for the size of the total moment: 0.000 μB per atom.

Lattice parameters (Å, degrees): 7.9969 7.9969 7.9969 60.09 60.09 60.09
Positions (direct):
Li 0.0000 0.0000 0.0000
Dy 0.1114 0.6297 0.6297
Dy 0.2499 0.2499 0.2499
Dy 0.6297 0.1114 0.6297
Dy 0.6297 0.6297 0.1114
Ho 0.6297 0.6297 0.6297
S 0.3835 0.3835 0.3835
S 0.3843 0.3843 0.8493
S 0.3843 0.8492 0.3843
S 0.3950 0.8679 0.8679
S 0.8493 0.3843 0.3843
S 0.8679 0.3950 0.8679
S 0.8679 0.8679 0.3950
S 0.8686 0.8686 0.8686


# 6
Computed, not measured: a relaxed structure of LiDyHoSb at the PBE level of DFT.

For the total energy, the calculation gives -4.23 eV/atom. The density of states at the Fermi level comes out at 3.0 states/eV/f.u. As for the uncorrected formation energy: -41.1 kJ/mol of atoms. As for the size of the total moment: 0.000 μB per atom.

Lattice parameters (Å, degrees): 5.1852 5.1852 5.1852 60.00 60.00 60.00
Positions (direct):
Li 0.0000 0.0000 0.0000
Dy 0.2500 0.2500 0.2500
Ho 0.7500 0.7500 0.7500
Sb 0.5000 0.5000 0.5000


# 7
Computed, not measured: a relaxed structure of LiDy3Ho2Se6 at the PBE level of DFT.

For the total energy, the calculation gives -5.56 eV/atom. The density of states at the Fermi level comes out at 5.0 states/eV/f.u. As for the uncorrected formation energy: -168.2 kJ/mol of atoms. As for the size of the total moment: 0.000 μB per atom.

Lattice parameters (Å, degrees): 6.9990 6.9990 7.0234 99.61 99.61 120.12
Positions (direct):
Li 0.0000 0.0000 0.0000
Dy 0.1672 0.8328 0.5000
Dy 0.5000 0.5000 0.5000
Dy 0.8328 0.1672 0.5000
Ho 0.3347 0.6653 0.0000
Ho 0.6653 0.3347 0.0000
Se 0.0805 0.4053 0.2433
Se 0.2423 0.2423 0.7585
Se 0.4053 0.0805 0.2433
Se 0.5947 0.9195 0.7567
Se 0.7577 0.7577 0.2415
Se 0.9195 0.5947 0.7567


# 8
Computed, not measured: a relaxed structure of LiDyHo4Se8 at the PBE level of DFT.

For the total energy, the calculation gives -5.54 eV/atom. The density of states at the Fermi level comes out at 0.0 states/eV/f.u. As for the uncorrected formation energy: -171.7 kJ/mol of atoms. As for the size of the total moment: 0.000 μB per atom.

Lattice parameters (Å, degrees): 8.3396 8.3396 8.3396 59.92 59.92 59.92
Positions (direct):
Li 0.0000 0.0000 0.0000
Dy 0.6303 0.6303 0.6303
Ho 0.1094 0.6304 0.6304
Ho 0.2503 0.2503 0.2503
Ho 0.6304 0.1094 0.6304
Ho 0.6304 0.6304 0.1094
Se 0.3830 0.3830 0.8499
Se 0.3830 0.8499 0.3830
Se 0.3838 0.3838 0.3838
Se 0.3908 0.8705 0.8705
Se 0.8499 0.3830 0.3830
Se 0.8705 0.3908 0.8705
Se 0.8705 0.8705 0.3908
Se 0.8698 0.8698 0.8698


# 9
Computed, not measured: a relaxed structure of LiDyHoSe3 at the PBE level of DFT.

For the total energy, the calculation gives -5.21 eV/atom. The density of states at the Fermi level comes out at 2.3 states/eV/f.u. As for the uncorrected formation energy: -156.6 kJ/mol of atoms. As for the size of the total moment: 0.000 μB per atom.

Lattice parameters (Å, degrees): 8.3232 3.9360 8.7255 90.00 102.81 90.00
Positions (direct):
Li 0.0865 0.2500 0.0838
Li 0.9135 0.7500 0.9162
Dy 0.1864 0.2500 0.7234
Dy 0.8136 0.7500 0.2766
Ho 0.3359 0.7500 0.3346
Ho 0.6641 0.2500 0.6654
Se 0.0910 0.2500 0.3718
Se 0.2249 0.7500 0.9931
Se 0.4228 0.7500 0.6730
Se 0.5772 0.2500 0.3270
Se 0.7751 0.2500 0.0069
Se 0.9090 0.7500 0.6282


# 10
Computed, not measured: a relaxed structure of LiDyHo2Se5 at the PBE level of DFT.

For the total energy, the calculation gives -5.35 eV/atom. As for the uncorrected formation energy: -161.2 kJ/mol of atoms. As for the size of the total moment: 0.000 μB per atom.

Lattice parameters (Å, degrees): 8.6978 8.6978 12.3829 90.00 90.00 153.12
Positions (direct):
Li 0.0122 0.9878 0.5000
Li 0.9878 0.0122 0.0000
Dy 0.3047 0.6953 0.0191
Dy 0.6953 0.3047 0.5191
Ho 0.3754 0.6246 0.3090
Ho 0.3922 0.6078 0.7024
Ho 0.6078 0.3922 0.2024
Ho 0.6246 0.3754 0.8090
Se 0.9999 0.0001 0.3040
Se 0.0001 0.9999 0.8040
Se 0.1375 0.8625 0.0211
Se 0.1930 0.8070 0.3569
Se 0.2143 0.7857 0.6817
Se 0.4551 0.5449 0.0950
Se 0.5449 0.4551 0.5950
Se 0.7857 0.2143 0.1817
Se 0.8070 0.1930 0.8569
Se 0.8625 0.1375 0.5211


# 11
Computed, not measured: a relaxed structure of Li2DyHoSe4 at the PBE level of DFT.

For the total energy, the calculation gives -5.07 eV/atom. The density of states at the Fermi level comes out at 0.0 states/eV/f.u. As for the uncorrected formation energy: -163.8 kJ/mol of atoms. As for the size of the total moment: 0.000 μB per atom.

Lattice parameters (Å, degrees): 6.9031 4.0622 7.0328 90.00 109.82 90.00
Positions (direct):
Li 0.0000 0.0000 0.0000
Li 0.0000 0.5000 0.5000
Dy 0.5000 0.0000 0.5000
Ho 0.5000 0.5000 0.0000
Se 0.2475 0.0000 0.7503
Se 0.2470 0.5000 0.2482
Se 0.7525 0.0000 0.2497
Se 0.7530 0.5000 0.7518


# 12
Computed, not measured: a relaxed structure of Li2DyHo3Se6 at the PBE level of DFT.

For the total energy, the calculation gives -5.31 eV/atom. The density of states at the Fermi level comes out at 2.6 states/eV/f.u. As for the uncorrected formation energy: -166.4 kJ/mol of atoms. As for the size of the total moment: 0.000 μB per atom.

Lattice parameters (Å, degrees): 6.9663 6.9663 6.9860 99.58 99.58 119.98
Positions (direct):
Li 0.1678 0.8322 0.0000
Li 0.8322 0.1678 0.0000
Dy 0.5000 0.5000 0.0000
Ho 0.0000 0.0000 0.5000
Ho 0.3341 0.6659 0.5000
Ho 0.6659 0.3341 0.5000
Se 0.0796 0.4188 0.7564
Se 0.2420 0.2420 0.2440
Se 0.4188 0.0796 0.7564
Se 0.5812 0.9204 0.2436
Se 0.7580 0.7580 0.7560
Se 0.9204 0.5812 0.2436


Q: Which formula does entry 1 have?
A: LiDy3Ho3S8